Entry from Alexandria via LeMat-Bulk: BaCd2Hg at its PBEsol-relaxed geometry (meta-GGA SCAN).

```
data_BaCd2Hg
_chemical_formula_sum 'Ba1 Cd2 Hg1'
_cell_length_a 5.3737
_cell_length_b 5.3678
_cell_length_c 5.3678
_cell_angle_alpha 59.77
_cell_angle_beta 59.96
_cell_angle_gamma 59.96
_space_group_name_H-M_alt 'P 1'
_space_group_IT_number 1
loop_
_space_group_symop_operation_xyz
'x,y,z'
loop_
_atom_site_label
_atom_site_fract_x
_atom_site_fract_y
_atom_site_fract_z
Cd1 0.9988 0.0012 0.0012
Hg1 0.5010 0.4990 0.4990
Cd2 0.7502 0.7498 0.7498
Ba1 0.2500 0.2500 0.2500
```

Summary:
The value obtained for the formation energy is -0.324 eV/atom.